one) DFT (PBE-GGA) results for a relaxed BeCdRu2 crystal.

Values from the calculation:
- M_tot: 0.55 μB per atom
- V: 14.6 A^3/atom

a = 4.817 Å, b = 4.817 Å, c = 4.817 Å
α = 133.18°, β = 133.18°, γ = 68.38°
Element x y z (fractional)
Be: 0.000 0.000 0.000
Cd: 0.500 0.500 0.000
Ru: 0.250 0.750 0.500
Ru: 0.750 0.250 0.500

two) DFT (PBE-GGA) results for a relaxed BeCdRu2 crystal.

Values from the calculation:
- M_tot: 0.00 μB per atom
- V: 14.3 A^3/atom

a = 4.490 Å, b = 4.490 Å, c = 4.490 Å
α = 126.08°, β = 126.08°, γ = 79.75°
Element x y z (fractional)
Be: 0.000 0.000 0.000
Cd: 0.250 0.750 0.500
Ru: 0.500 0.500 0.000
Ru: 0.750 0.250 0.500

three) DFT (PBE-GGA) results for a relaxed BeCdRu2 crystal.

Values from the calculation:
- M_tot: 0.00 μB per atom
- V: 14.0 A^3/atom

a = 2.886 Å, b = 2.886 Å, c = 6.731 Å
α = 90.00°, β = 90.00°, γ = 90.00°
Element x y z (fractional)
Be: 0.000 0.000 0.000
Cd: 0.500 0.500 0.273
Ru: 0.000 0.000 0.579
Ru: 0.500 0.500 0.825

Going by the energies, three) is most stable and the next is 29.8 kJ/mol of atoms up.

one) DFT (PBE-GGA) results for a relaxed BeCdRu2 crystal.

Values from the calculation:
- M_tot: 0.00 μB per atom
- V: 14.4 A^3/atom

a = 2.806 Å, b = 3.845 Å, c = 5.465 Å
α = 90.00°, β = 102.75°, γ = 90.00°
Element x y z (fractional)
Be: 0.000 0.000 0.000
Cd: 0.000 0.000 0.500
Ru: 0.363 0.500 0.204
Ru: 0.637 0.500 0.796

two) DFT (PBE-GGA) results for a relaxed BeCdRu2 crystal.

Values from the calculation:
- M_tot: 0.00 μB per atom
- V: 14.0 A^3/atom

a = 8.351 Å, b = 8.351 Å, c = 8.351 Å
α = 19.39°, β = 19.39°, γ = 19.39°
Element x y z (fractional)
Be: 0.000 0.000 0.000
Cd: 0.500 0.500 0.500
Ru: 0.264 0.264 0.264
Ru: 0.736 0.736 0.736

Going by the energies, two) is most stable and the next is 4.2 kJ/mol of atoms up.

one) DFT (PBE-GGA) results for a relaxed Be2CdRu2 crystal.

Values from the calculation:
- M_tot: 0.00 μB per atom
- V: 13.3 A^3/atom

a = 6.925 Å, b = 6.925 Å, c = 2.776 Å
α = 90.00°, β = 90.00°, γ = 90.00°
Element x y z (fractional)
Be: 0.164 0.336 0.000
Be: 0.336 0.836 0.000
Be: 0.664 0.164 0.000
Be: 0.836 0.664 0.000
Cd: 0.000 0.000 0.500
Cd: 0.500 0.500 0.500
Ru: 0.128 0.628 0.500
Ru: 0.372 0.128 0.500
Ru: 0.628 0.872 0.500
Ru: 0.872 0.372 0.500

two) DFT (PBE-GGA) results for a relaxed Be2CdRu2 crystal.

Values from the calculation:
- M_tot: 0.00 μB per atom
- V: 12.4 A^3/atom

a = 6.298 Å, b = 6.298 Å, c = 3.118 Å
α = 90.00°, β = 90.00°, γ = 90.00°
Element x y z (fractional)
Be: 0.119 0.381 0.000
Be: 0.381 0.881 0.000
Be: 0.619 0.119 0.000
Be: 0.881 0.619 0.000
Cd: 0.000 0.000 0.000
Cd: 0.500 0.500 0.000
Ru: 0.166 0.666 0.500
Ru: 0.334 0.166 0.500
Ru: 0.666 0.834 0.500
Ru: 0.834 0.334 0.500

Going by the energies, two) is most stable and the next is 24.0 kJ/mol of atoms up.